Density functional theory data (SCAN) for a crystal of KCr2Si relaxed with PBEsol.

Unit cell a=2.981 b=2.981 c=7.994 alpha=90.00 beta=90.00 gamma=90.00
Space group P4mm (No. 99)
Unique sites:
K  0.000  0.000  0.000 [1 per cell]
Cr  0.000  0.000  0.492 [1 per cell]
Cr  0.500  0.500  0.638 [1 per cell]
Si  0.500  0.500  0.316 [1 per cell]

Properties
Raw formation energy (eV/atom): 0.277